No. 1
Compound: Tb2ScAl
Source: Alexandria via LeMat-Bulk
Functional: PBE
Structure: relaxed

Lattice parameters (Å, degrees): 5.247 5.247 5.247 60.00 60.00 60.00
Site moments in Bohr magnetons follow the coordinates.
Atoms (fractional coordinates):
Sc 0.500 0.500 0.500  0.08
Tb 0.250 0.250 0.250  0.04
Tb 0.750 0.750 0.750  0.04
Al 0.000 0.000 0.000  0.00

Values from the calculation:
final energy	-4.94	eV per atom
energy of formation	-0.43	eV/f.u.
crystal system	cubic

No. 2
Compound: AcTl2Cl5
Source: Alexandria via LeMat-Bulk
Functional: PBE
Structure: relaxed

Lattice parameters (Å, degrees): 8.361 9.190 13.252 90.00 90.00 90.00
Atoms (fractional coordinates):
Ac 0.424 0.250 0.505
Ac 0.576 0.750 0.495
Ac 0.924 0.750 0.995
Ac 0.076 0.250 0.005
Tl 0.462 0.503 0.827
Tl 0.538 0.497 0.173
Tl 0.962 0.497 0.673
Tl 0.538 0.003 0.173
Tl 0.038 0.503 0.327
Tl 0.462 0.997 0.827
Tl 0.038 0.997 0.327
Tl 0.962 0.003 0.673
Cl 0.073 0.250 0.507
Cl 0.927 0.750 0.493
Cl 0.573 0.750 0.993
Cl 0.427 0.250 0.007
Cl 0.338 0.958 0.581
Cl 0.662 0.042 0.419
Cl 0.838 0.042 0.919
Cl 0.662 0.458 0.419
Cl 0.162 0.958 0.081
Cl 0.338 0.542 0.581
Cl 0.162 0.542 0.081
Cl 0.838 0.458 0.919
Cl 0.169 0.250 0.791
Cl 0.831 0.750 0.209
Cl 0.669 0.750 0.709
Cl 0.331 0.250 0.291
Cl 0.629 0.250 0.683
Cl 0.371 0.750 0.317
Cl 0.129 0.750 0.817
Cl 0.871 0.250 0.183

Values from the calculation:
final energy	-4.02	eV per atom
ΔE_f (raw)	-1.76	eV per atom
crystal system	orthorhombic

Look up the final energy of the first one. -4.94 eV per atom

Among the records above, which one has the lowest final energy? Tb2ScAl

Which of these has the lowest final energy? Tb2ScAl

The highest final energy belongs to which entry? AcTl2Cl5